Record 1
## CoSn6Pt (PBE-GGA)

Data for a relaxed CoSn6Pt crystal.

Formation energy ... -10.84 kJ/mol of atoms
Final energy ... -4.7578 eV per atom
Spin magnetization ... 0.00 μB per formula unit

Cell: 8.046 8.046 8.198 Å, 108.78 109.27 109.63°
Fractional coordinates of all 16 atoms:
Co (0.000, 0.500, 0.000)
Co (0.500, 0.000, 0.000)
Sn (0.170, 0.686, 0.856)
Sn (0.830, 0.314, 0.144)
Sn (0.855, 0.649, 0.504)
Sn (0.145, 0.351, 0.496)
Sn (0.833, 0.177, 0.680)
Sn (0.167, 0.823, 0.320)
Sn (0.502, 0.847, 0.680)
Sn (0.498, 0.153, 0.320)
Sn (0.665, 0.832, 0.151)
Sn (0.335, 0.168, 0.849)
Sn (0.681, 0.514, 0.849)
Sn (0.319, 0.486, 0.151)
Pt (0.000, 0.000, 0.500)
Pt (0.500, 0.500, 0.500)

***

Record 2
## SrCo2Pt (PBE-GGA)

Data for a relaxed SrCo2Pt crystal.

Formation energy ... 40.44 kJ/mol of atoms
Final energy ... -5.0645 eV per atom
Spin magnetization ... 3.55 μB per formula unit

Cell: 4.994 4.994 4.994 Å, 131.04 131.04 71.76°
Last column: magnetic moment on the atom in μB.
Fractional coordinates of all 4 atoms:
Co (0.000, 0.000, 0.000)  1.75
Co (0.500, 0.500, 0.000)  1.75
Pt (0.250, 0.750, 0.500)  0.20
Sr (0.750, 0.250, 0.500)  -0.04